(1)
Tl2FeAgCl | Alexandria | PBE-GGA | optimized geometry; VASP energy = -2.7957 eV per atom; ρ = 6.0 g/cm³
1.0
5.872 0.000 0.000
0.000 5.872 0.000
0.000 0.000 4.840
Tl Fe Ag Cl
2 1 1 1
direct
0.000 0.500 0.000
0.500 0.000 0.000
0.000 0.000 0.500
0.500 0.500 0.500
0.500 0.500 0.000

=====

(2)
YFe2AgCl | Alexandria | PBE-GGA | optimized geometry; VASP energy = -4.6159 eV per atom; ρ = 4.2 g/cm³
1.0
5.161 0.000 0.000
0.000 5.161 0.000
0.000 0.000 5.100
Y Fe Ag Cl
1 2 1 1
direct
0.000 0.000 0.000
0.000 0.500 0.000
0.500 0.000 0.000
0.500 0.500 0.500
0.000 0.000 0.500

=====

(3)
GaAgCl | Alexandria | PBE-GGA | optimized geometry; VASP energy = -2.7987 eV per atom; ρ = 5.2 g/cm³
1.0
10.813 0.000 0.000
0.000 1.704 3.722
0.000 -1.704 3.722
Ga Ag Cl
2 2 2
direct
0.143 0.000 0.000
0.857 0.000 0.000
0.000 0.712 0.712
0.500 0.782 0.782
0.342 0.491 0.491
0.658 0.491 0.491

=====

(4)
GaAgCl6 | Alexandria | PBE-GGA | optimized geometry; VASP energy = -2.6909 eV per atom; ρ = 2.7 g/cm³
1.0
5.635 0.000 0.000
0.457 6.679 0.000
2.320 2.985 6.274
Ga Ag Cl
1 1 6
direct
0.000 0.000 0.000
0.500 0.500 0.000
0.055 0.829 0.312
0.275 0.360 0.849
0.377 0.852 0.808
0.623 0.148 0.192
0.725 0.640 0.151
0.945 0.171 0.688

=====

(5)
GaAg5Cl8 | Alexandria | PBE-GGA | optimized geometry; VASP energy = -2.9154 eV per atom; ρ = 3.3 g/cm³
1.0
-4.149 4.149 6.571
4.149 -4.149 6.571
4.149 4.149 -6.571
Ga Ag Cl
1 5 8
direct
0.000 0.000 0.000
0.250 0.750 0.500
0.310 0.676 0.997
0.324 0.321 0.633
0.679 0.312 0.003
0.688 0.690 0.367
0.315 0.098 0.232
0.346 0.118 0.753
0.365 0.593 0.247
0.407 0.654 0.772
0.866 0.083 0.768
0.882 0.635 0.228
0.902 0.134 0.217
0.917 0.685 0.783

=====

(6)
GaAg2Cl5 | Alexandria | PBE-GGA | optimized geometry; relative energy among the computed polymorphs = 0.000 eV per atom; ρ = 3.1 g/cm³
1.0
9.197 -4.431 0.000
9.197 4.431 0.000
-5.262 0.000 12.233
Ga Ag Cl
4 8 20
direct
0.047 0.291 0.310
0.291 0.047 0.810
0.709 0.953 0.190
0.953 0.709 0.690
0.170 0.645 0.218
0.318 0.659 0.584
0.341 0.682 0.916
0.355 0.830 0.282
0.645 0.170 0.718
0.659 0.318 0.084
0.682 0.341 0.416
0.830 0.355 0.782
0.014 0.854 0.848
0.101 0.245 0.919
0.146 0.986 0.652
0.147 0.411 0.286
0.185 0.524 0.618
0.245 0.101 0.419
0.375 0.623 0.107
0.377 0.625 0.393
0.411 0.147 0.786
0.476 0.815 0.882
0.524 0.185 0.118
0.589 0.853 0.214
0.623 0.375 0.607
0.625 0.377 0.893
0.755 0.899 0.581
0.815 0.476 0.382
0.853 0.589 0.714
0.854 0.014 0.348
0.899 0.755 0.081
0.986 0.146 0.152

=====

- The highest ρ belongs to which entry?
  Tl2FeAgCl

=====

- Which value of ρ does entry 2 give?
  4.2 g/cm³

=====

What did the sixth record say?
GaAg2Cl5 | Alexandria | PBE-GGA | optimized geometry; relative energy among the computed polymorphs = 0.000 eV per atom; ρ = 3.1 g/cm³
1.0
9.197 -4.431 0.000
9.197 4.431 0.000
-5.262 0.000 12.233
Ga Ag Cl
4 8 20
direct
0.047 0.291 0.310
0.291 0.047 0.810
0.709 0.953 0.190
0.953 0.709 0.690
0.170 0.645 0.218
0.318 0.659 0.584
0.341 0.682 0.916
0.355 0.830 0.282
0.645 0.170 0.718
0.659 0.318 0.084
0.682 0.341 0.416
0.830 0.355 0.782
0.014 0.854 0.848
0.101 0.245 0.919
0.146 0.986 0.652
0.147 0.411 0.286
0.185 0.524 0.618
0.245 0.101 0.419
0.375 0.623 0.107
0.377 0.625 0.393
0.411 0.147 0.786
0.476 0.815 0.882
0.524 0.185 0.118
0.589 0.853 0.214
0.623 0.375 0.607
0.625 0.377 0.893
0.755 0.899 0.581
0.815 0.476 0.382
0.853 0.589 0.714
0.854 0.014 0.348
0.899 0.755 0.081
0.986 0.146 0.152